DFT (PBE) results for a relaxed structure of BaScP2H.

Properties
E ... -21.7 eV/cell
ρ ... 2.6 g cm⁻³
DOS(E_F) ... 1.74 states/eV per cell
Total magnetization ... 0.00 μB/f.u.

Unit cell a=4.7803 b=4.7803 c=6.9111 alpha=90.00 beta=90.00 gamma=90.00
With the nearest neighbours (Å) after each atom.
Space group P4/mmm (No. 123)
One atom of each set of equivalent atoms:
Ba  0.0000  0.0000  0.0000 [1 per cell]  4 H 3.38, 2 Sc 3.46
Sc  0.0000  0.0000  0.5000 [1 per cell]  4 P 2.39
P  0.0000  0.5000  0.5000 [2 per cell]  2 Sc 2.39
H  0.5000  0.5000  0.0000 [1 per cell]  4 Ba 3.38

DFT (PBE) results for a relaxed structure of K3Ce2PrTe6.

Properties
E ... -110.5 eV/cell
ρ ... 4.7 g cm⁻³
DOS(E_F) ... 25.35 states/eV per cell
Total magnetization ... 2.01 μB/f.u.

Unit cell a=8.0665 b=13.9720 c=8.6590 alpha=90.00 beta=108.09 gamma=90.00
With the nearest neighbours (Å) after each atom.
Space group C2/m (No. 12)
One atom of each set of equivalent atoms:
K  0.0000  0.0000  0.0000 [2 per cell]  6 Te 3.57
K  0.0000  0.3339  0.0000 [4 per cell]  6 Te 3.57
Ce  0.0000  0.1668  0.5000 [4 per cell]  6 Te 3.21
Pr  0.0000  0.5000  0.5000 [2 per cell]  6 Te 3.22
Te  0.2372  0.0000  0.7145 [4 per cell]  2 Ce 3.21, 1 Pr 3.22, 3 K 3.57
Te  0.2387  0.3329  0.7147 [8 per cell]  2 Ce 3.21, 1 Pr 3.22, 3 K 3.57

DFT (PBE) results for a relaxed structure of Ca6Mg5Ga.

Properties
ρ ... 2.0 g cm⁻³
Calculated formation energy ... -170 kJ/mol of formula units
DOS(E_F) ... 18.97 states/eV per cell
Total magnetization ... 0.00 μB/f.u.

Unit cell a=5.4937 b=7.8805 c=16.5268 alpha=90.00 beta=90.00 gamma=90.00
With the nearest neighbours (Å) after each atom.
Space group Immm (No. 71)
One atom of each set of equivalent atoms:
Ca  0.0000  0.2320  0.0000 [4 per cell]  2 Ga 3.30, 6 Mg 3.46, 1 Ca 3.66
Ca  0.0000  0.2601  0.3404 [8 per cell]  1 Ga 3.25, 7 Mg 3.34-3.45
Mg  0.0000  0.0000  0.1774 [4 per cell]  8 Ca 3.35-3.46
Mg  0.0000  0.0000  0.5000 [2 per cell]  8 Ca 3.34-3.46
Mg  0.0000  0.5000  0.1655 [4 per cell]  8 Ca 3.43-3.46, 2 Mg 3.78
Ga  0.0000  0.5000  0.5000 [2 per cell]  8 Ca 3.25-3.30

DFT (PBE) results for a relaxed structure of CaMg2TlCd2.

Properties
ρ ... 5.8 g cm⁻³
Calculated formation energy ... -113 kJ/mol of formula units
DOS(E_F) ... 1.51 states/eV per cell
Total magnetization ... 0.00 μB/f.u.

Unit cell a=5.1460 b=5.1460 c=6.4734 alpha=90.00 beta=90.00 gamma=120.00
With the nearest neighbours (Å) after each atom.
Space group P-3m1 (No. 164)
One atom of each set of equivalent atoms:
Ca  0.0000  0.0000  0.0000 [1 per cell]  6 Cd 3.22, 2 Tl 3.24, 6 Mg 3.58
Mg  0.3333  0.6667  0.6902 [2 per cell]  5 Cd 3.06-3.26, 3 Tl 3.22
Tl  0.0000  0.0000  0.5000 [1 per cell]  6 Mg 3.22, 2 Ca 3.24, 6 Cd 3.57
Cd  0.3333  0.6667  0.1935 [2 per cell]  5 Mg 3.06-3.26, 3 Ca 3.22

DFT (PBE) results for a relaxed structure of LiSbPt2.

Properties
E ... -19.9 eV/cell
ρ ... 12.8 g cm⁻³
DOS(E_F) ... 1.26 states/eV per cell
Total magnetization ... 0.00 μB/f.u.

Unit cell a=3.2541 b=3.8792 c=5.3435 alpha=90.00 beta=90.00 gamma=90.00
With the nearest neighbours (Å) after each atom.
Space group Pmm2 (No. 25)
One atom of each set of equivalent atoms:
Li  0.0000  0.0000  0.0000 [1 per cell]  6 Pt 2.59-2.76
Sb  0.5000  0.5000  0.6901 [1 per cell]  6 Pt 2.65-2.76
Pt  0.0000  0.0000  0.4838 [1 per cell]  2 Li 2.59-2.76, 4 Sb 2.76
Pt  0.5000  0.5000  0.1854 [1 per cell]  2 Sb 2.65-2.70, 4 Li 2.72

DFT (PBE) results for a relaxed structure of Al2CuNi2.

Properties
ρ ... 6.2 g cm⁻³
Calculated formation energy ... -202 kJ/mol of formula units
DOS(E_F) ... 3.87 states/eV per cell
Total magnetization ... 0.00 μB/f.u.

Unit cell a=6.7887 b=6.7887 c=2.7437 alpha=90.00 beta=90.00 gamma=90.00
With the nearest neighbours (Å) after each atom.
Space group P4/mbm (No. 127)
One atom of each set of equivalent atoms:
Al  0.1615  0.3385  0.0000 [4 per cell]  6 Ni 2.38-2.45
Cu  0.0000  0.0000  0.5000 [2 per cell]  4 Ni 2.64, 2 Cu 2.74, 8 Al 2.89
Ni  0.1360  0.6360  0.5000 [4 per cell]  6 Al 2.38-2.45, 1 Ni 2.61, 2 Cu 2.64

- The lowest DOS(E_F) belongs to which entry?
  LiSbPt2

- What is the ρ in the third record?
  2.0 g cm⁻³

- total magnetization of number 2 (K3Ce2PrTe6)?
  2.01 μB/f.u.